# 1
LiRh: relaxed, PBE-GGA.

Uncorrected energy = -4.719 eV per atom
Volume = 15.5 Å³ per atom

```
data_LiRh
_symmetry_space_group_name_H-M 'P 63/m'
_symmetry_Int_Tables_number 176
_symmetry_space_group_name_Hall '-P 6c'
_cell_length_a 8.8331
_cell_length_b 8.8331
_cell_length_c 2.7595
_cell_angle_alpha 90.00
_cell_angle_beta 90.00
_cell_angle_gamma 120.00
loop_
_atom_site_label
_atom_site_type_symbol
_atom_site_fract_x
_atom_site_fract_y
_atom_site_fract_z
Li1 Li 0.1258 0.3321 0.2500
Rh1 Rh 0.1394 0.5925 0.7500
```

# 2
LiRh: relaxed, PBE-GGA.

Uncorrected energy = -4.546 eV per atom
Volume = 15.0 Å³ per atom

```
data_LiRh
_symmetry_space_group_name_H-M 'F d d d'
_symmetry_Int_Tables_number 70
_cell_length_a 4.3658
_cell_length_b 7.6438
_cell_length_c 14.3977
_cell_angle_alpha 90.00
_cell_angle_beta 90.00
_cell_angle_gamma 90.00
loop_
_symmetry_equiv_pos_as_xyz
'x,y,z'
'-x,-y,-z'
'-x+1/4,-y+1/4,z'
'x+1/4,y+1/4,-z'
'x,-y+1/4,-z+1/4'
'-x,y+1/4,z+1/4'
'-x+1/4,y,-z+1/4'
'x+1/4,-y,z+1/4'
'x,y+1/2,z+1/2'
'-x,-y+1/2,-z+1/2'
'-x+1/4,-y+3/4,z+1/2'
'x+1/4,y+3/4,-z+1/2'
'x,-y+3/4,-z+3/4'
'-x,y+3/4,z+3/4'
'-x+1/4,y+1/2,-z+3/4'
'x+1/4,-y+1/2,z+3/4'
'x+1/2,y,z+1/2'
'-x+1/2,-y,-z+1/2'
'-x+3/4,-y+1/4,z+1/2'
'x+3/4,y+1/4,-z+1/2'
'x+1/2,-y+1/4,-z+3/4'
'-x+1/2,y+1/4,z+3/4'
'-x+3/4,y,-z+3/4'
'x+3/4,-y,z+3/4'
'x+1/2,y+1/2,z'
'-x+1/2,-y+1/2,-z'
'-x+3/4,-y+3/4,z'
'x+3/4,y+3/4,-z'
'x+1/2,-y+3/4,-z+1/4'
'-x+1/2,y+3/4,z+1/4'
'-x+3/4,y+1/2,-z+1/4'
'x+3/4,-y+1/2,z+1/4'
loop_
_atom_site_label
_atom_site_type_symbol
_atom_site_fract_x
_atom_site_fract_y
_atom_site_fract_z
Li1 Li 0.1250 0.2852 0.1250
Rh1 Rh 0.1250 0.1250 0.5388
```

# 3
LiRh: relaxed, PBE-GGA.

Uncorrected energy = -4.741 eV per atom
Volume = 12.8 Å³ per atom

```
data_LiRh
_symmetry_space_group_name_H-M 'C m m m'
_symmetry_Int_Tables_number 65
_symmetry_space_group_name_Hall '-C 2 2'
_cell_length_a 4.2286
_cell_length_b 12.7271
_cell_length_c 2.8603
_cell_angle_alpha 90.00
_cell_angle_beta 90.00
_cell_angle_gamma 90.00
loop_
_atom_site_label
_atom_site_type_symbol
_atom_site_fract_x
_atom_site_fract_y
_atom_site_fract_z
Li1 Li 0.0000 0.0000 0.0000
Li2 Li 0.0000 0.1572 0.5000
Rh1 Rh 0.0000 0.3251 0.0000
Rh2 Rh 0.0000 0.5000 0.5000
```

# 4
Li2Rh: relaxed, PBE-GGA.

Uncorrected energy = -3.803 eV per atom
Volume = 14.6 Å³ per atom

```
data_Li2Rh
_symmetry_space_group_name_H-M 'P n m a'
_symmetry_Int_Tables_number 62
_symmetry_space_group_name_Hall '-P 2ac 2n'
_cell_length_a 5.1547
_cell_length_b 4.4635
_cell_length_c 7.6387
_cell_angle_alpha 90.00
_cell_angle_beta 90.00
_cell_angle_gamma 90.00
loop_
_atom_site_label
_atom_site_type_symbol
_atom_site_fract_x
_atom_site_fract_y
_atom_site_fract_z
Li1 Li 0.0796 0.2500 0.1055
Li2 Li 0.2273 0.2500 0.7688
Rh1 Rh 0.0688 0.2500 0.4490
```

# 5
Li2RuRh: relaxed, PBE-GGA.

Uncorrected energy = -5.098 eV per atom
Relative energy among the computed polymorphs = 0.014 eV per atom
Volume = 14.1 Å³ per atom

```
data_Li2RuRh
_symmetry_space_group_name_H-M 'P m m 2'
_symmetry_Int_Tables_number 25
_symmetry_space_group_name_Hall 'P 2 -2'
_cell_length_a 2.6680
_cell_length_b 3.9777
_cell_length_c 5.3116
_cell_angle_alpha 90.00
_cell_angle_beta 90.00
_cell_angle_gamma 90.00
loop_
_atom_site_label
_atom_site_type_symbol
_atom_site_fract_x
_atom_site_fract_y
_atom_site_fract_z
Li1 Li 0.0000 0.0000 0.0000
Li2 Li 0.5000 0.5000 0.2199
Ru1 Ru 0.5000 0.5000 0.6998
Rh1 Rh 0.0000 0.0000 0.5173
```

# 6
Li2RuRh: relaxed, PBE-GGA.

Uncorrected energy = -5.100 eV per atom
Relative energy among the computed polymorphs = 0.013 eV per atom
Volume = 13.6 Å³ per atom

```
data_Li2RuRh
_symmetry_space_group_name_H-M 'P m m m'
_symmetry_Int_Tables_number 47
_symmetry_space_group_name_Hall '-P 2 2'
_cell_length_a 2.7015
_cell_length_b 4.4820
_cell_length_c 4.5033
_cell_angle_alpha 90.00
_cell_angle_beta 90.00
_cell_angle_gamma 90.00
loop_
_atom_site_label
_atom_site_type_symbol
_atom_site_fract_x
_atom_site_fract_y
_atom_site_fract_z
Li1 Li 0.0000 0.0000 0.0000
Li2 Li 0.5000 0.5000 0.0000
Ru1 Ru 0.0000 0.5000 0.5000
Rh1 Rh 0.5000 0.0000 0.5000
```

# 7
LiRu2Rh: relaxed, PBE-GGA.

Uncorrected energy = -6.837 eV per atom
Relative energy among the computed polymorphs = 0.026 eV per atom
Volume = 13.3 Å³ per atom

```
data_LiRu2Rh
_symmetry_space_group_name_H-M 'P 4 m m'
_symmetry_Int_Tables_number 99
_symmetry_space_group_name_Hall 'P 4 -2'
_cell_length_a 2.7799
_cell_length_b 2.7799
_cell_length_c 6.8661
_cell_angle_alpha 90.00
_cell_angle_beta 90.00
_cell_angle_gamma 90.00
loop_
_atom_site_label
_atom_site_type_symbol
_atom_site_fract_x
_atom_site_fract_y
_atom_site_fract_z
Li1 Li 0.0000 0.0000 0.0000
Ru1 Ru 0.0000 0.0000 0.5011
Ru2 Ru 0.5000 0.5000 0.7519
Rh1 Rh 0.5000 0.5000 0.2312
```

# 8
LiRu2Rh: relaxed, PBE-GGA.

Uncorrected energy = -6.693 eV per atom
Relative energy among the computed polymorphs = 0.169 eV per atom
Volume = 14.0 Å³ per atom

```
data_LiRu2Rh
_symmetry_space_group_name_H-M 'P 4/m m m'
_symmetry_Int_Tables_number 123
_symmetry_space_group_name_Hall '-P 4 2'
_cell_length_a 2.6451
_cell_length_b 2.6451
_cell_length_c 7.9944
_cell_angle_alpha 90.00
_cell_angle_beta 90.00
_cell_angle_gamma 90.00
loop_
_atom_site_label
_atom_site_type_symbol
_atom_site_fract_x
_atom_site_fract_y
_atom_site_fract_z
Li1 Li 0.0000 0.0000 0.0000
Ru1 Ru 0.5000 0.5000 0.2561
Rh1 Rh 0.0000 0.0000 0.5000
```